(1)
DyGa4CoIr2: optimized geometry, PBE.

Calculated values
For the formation energy, the calculation gives -513.4 meV per atom. Its total moment is 0.00 μB/f.u. Its mass density is 11.341 g/cm3.

Cell and atoms, written as POSCAR:
```
DyGa4CoIr2
1.0
2.106 1.216 8.435
-2.106 1.216 8.435
0.000 -2.431 8.435
Dy Ga Co Ir
1 4 1 2
Direct
0.000 0.000 0.000
0.133 0.133 0.133
0.400 0.400 0.400
0.600 0.600 0.600
0.867 0.867 0.867
0.500 0.500 0.500
0.236 0.236 0.236
0.764 0.764 0.764
```


(2)
KWAu2S: optimized geometry, PBE.

Calculated values
The value obtained for the formation energy from raw total energies is 1308.5 meV per atom. Its total moment is 3.11 μB/f.u. Its mass density is 6.070 g/cm3.

Cell and atoms, written as POSCAR:
```
KWAu2S
1.0
5.016 0.000 0.000
0.000 5.016 0.000
0.000 0.000 7.055
K W Au S
1 1 2 1
Direct
0.000 0.000 0.000
0.000 0.000 0.500
0.000 0.500 0.500
0.500 0.000 0.500
0.500 0.500 0.000
```


(3)
InMo2Ru: optimized geometry, PBE.

Calculated values
For the formation energy, the calculation gives 252.5 meV per atom. Its total moment is 0.00 μB/f.u. Its mass density is 10.339 g/cm3.

Cell and atoms, written as POSCAR:
```
InMo2Ru
1.0
3.238 0.000 0.000
0.000 4.353 0.000
0.000 0.000 4.647
In Mo Ru
1 2 1
Direct
0.000 0.000 0.000
0.000 0.500 0.500
0.500 0.000 0.500
0.500 0.500 0.000
```